Compound: LiScNiGe
Source: OQMD via LeMat-Bulk
Functional: GGA-PBE
Structure: relaxed

a b c (Å): 4.362 4.362 4.362
angles (deg): 60.00 60.00 60.00
Sites, in units of the cell vectors:
Li 0.750 0.750 0.750
Sc 0.000 0.000 0.000
Ge 0.250 0.250 0.250
Ni 0.500 0.500 0.500

Properties
The value obtained for the total energy is -5.07 eV per atom. The total moment comes out at 0.00 μB/f.u.